! PBE NaPrTmGa, optimized geometry; values from VASP
&SYSTEM
  ibrav = 0, nat = 4, ntyp = 4
/
ATOMIC_SPECIES
Na 22.99 Na.upf
Pr 140.91 Pr.upf
Tm 168.93 Tm.upf
Ga 69.72 Ga.upf
ATOMIC_POSITIONS angstrom
Na 0.000 0.000 0.000
Pr 1.874 1.874 1.874
Tm 5.621 5.621 5.621
Ga 3.748 3.748 3.748
CELL_PARAMETERS angstrom
0.000 3.748 3.748
3.748 0.000 3.748
3.748 3.748 0.000
! **Calculated density**: 6.4 Mg/m³
! **Energy**: -3.52 eV/atom